# 1
A relaxed YP2 crystal. Source: Alexandria, functional GGA-PBE.

```
YP2
1.0
0.0000 3.7988 3.7988
3.7988 0.0000 3.7988
3.7988 3.7988 0.0000
Y P
2 4
direct
0.5000 0.5000 0.5000
0.7500 0.7500 0.7500
0.1250 0.1250 0.1250
0.6250 0.1250 0.1250
0.1250 0.6250 0.1250
0.1250 0.1250 0.6250
```

# 2
A relaxed Y2P crystal. Source: Alexandria, functional GGA-PBE.

```
Y2P
1.0
2.4992 -3.2609 4.0089
-5.5678 -0.8900 -1.0763
2.7264 -1.2311 -4.8991
Y P
4 2
direct
0.3296 0.8296 0.1591
0.6704 0.1704 0.8409
0.8296 0.6704 0.5000
0.1704 0.3296 0.5000
0.2500 0.2500 0.0000
0.7500 0.7500 0.0000
```

# 3
A relaxed YP3 crystal. Source: Alexandria, functional GGA-PBE.

```
YP3
1.0
5.1064 0.0026 -0.0021
1.5817 4.8553 0.0021
-2.7461 -3.2521 2.8210
P Y
3 1
direct
0.2023 0.2023 0.0000
0.0000 0.5000 0.5000
0.7977 0.7977 0.0000
0.5000 0.0000 0.5000
```

# 4
A relaxed Y2P crystal. Source: Alexandria, functional GGA-PBE.

```
Y2P
1.0
-3.0682 0.3537 2.4105
-3.5723 -1.0674 -1.2057
0.1476 -5.1719 4.1341
P Y
1 2
direct
0.5279 0.9776 0.9922
0.0305 0.2265 0.7383
0.0252 0.7287 0.2461
```

# 5
A relaxed YP5 crystal. Source: Alexandria, functional GGA-PBE.

```
YP5
1.0
-9.4266 0.0360 0.3921
-0.0133 -4.9554 0.1360
0.2155 -0.9859 5.2708
P Y
10 2
direct
0.0926 0.3841 0.9548
0.4074 0.3841 0.9548
0.0283 0.2859 0.5951
0.5926 0.6159 0.0452
0.4717 0.2859 0.5951
0.9717 0.7141 0.4049
0.2500 0.7238 0.8921
0.5283 0.7141 0.4049
0.7500 0.2762 0.1079
0.9074 0.6159 0.0452
0.2500 0.9965 0.3463
0.7500 0.0035 0.6537
```

# 6
A relaxed Y3P5 crystal. Source: Alexandria, functional GGA-PBE.

```
Y3P5
1.0
7.7114 0.0331 -0.0053
-5.1018 5.3564 -0.0036
-1.3076 -2.6922 8.1771
Y P
6 10
direct
0.3189 0.1032 0.5000
0.2817 0.2826 0.0648
0.8421 0.3427 0.1854
0.7175 0.7174 0.9352
0.6804 0.8969 0.5000
0.1571 0.6573 0.8146
0.8083 0.3519 0.5001
0.5931 0.2485 0.8539
0.1909 0.6482 0.4999
0.2236 0.3154 0.7252
0.9983 0.0902 0.2747
0.7602 0.1052 0.8539
0.0009 0.9099 0.7253
0.4059 0.7513 0.1461
0.7756 0.6846 0.2748
0.2388 0.8947 0.1461
```

# 7
A relaxed Y2P crystal. Source: Alexandria, functional GGA-PBE.

```
Y2P
1.0
-5.9804 2.3897 -0.1568
4.5199 -2.8173 3.6241
2.3088 5.8894 1.6987
P Y
2 4
direct
0.8844 0.1156 0.9271
0.1156 0.8844 0.4271
0.4918 0.5082 0.2159
0.7771 0.2229 0.5287
0.2229 0.7771 0.0287
0.5082 0.4918 0.7159
```

# 8
A relaxed Y6P5 crystal. Source: Alexandria, functional GGA-PBE.

```
Y6P5
1.0
-2.5785 6.4106 -0.2828
-5.3425 0.5250 4.3514
6.3900 1.4257 2.1864
Y P
6 5
direct
0.2526 0.9153 0.3409
0.7474 0.4256 0.3409
0.7444 0.7439 0.0000
0.2526 0.5744 0.6591
0.7474 0.0847 0.6591
0.2556 0.2561 0.0000
0.5000 0.5000 0.0000
0.0000 0.3333 0.6667
0.5000 0.8340 0.6680
0.5000 0.1660 0.3320
0.0000 0.6667 0.3333
```

# 9
A relaxed Y2P crystal. Source: Alexandria, functional GGA-PBE.

```
Y2P
1.0
3.8540 0.0000 0.0000
0.0000 7.4454 0.0000
0.0000 0.0000 10.2888
Y P
8 4
direct
0.7500 0.5274 0.3001
0.7500 0.8211 0.5433
0.2500 0.6789 0.0433
0.2500 0.1789 0.4567
0.7500 0.0274 0.1999
0.2500 0.4726 0.6999
0.7500 0.3211 0.9567
0.2500 0.9726 0.8001
0.7500 0.1773 0.6705
0.7500 0.6773 0.8295
0.2500 0.3227 0.1705
0.2500 0.8227 0.3295
```

# 10
A relaxed Y5P crystal. Source: Alexandria, functional GGA-PBE.

```
Y5P
1.0
3.0595 -5.2992 0.0000
3.0595 5.2992 0.0000
0.0000 0.0000 5.1322
Y P
5 1
direct
0.6667 0.3333 0.5000
0.6995 0.0000 0.0000
0.0000 0.6995 0.0000
0.3005 0.3005 0.0000
0.3333 0.6667 0.5000
0.0000 0.0000 0.5000
```

# 11
A relaxed YP2 crystal. Source: Alexandria, functional GGA-PBE.

```
YP2
1.0
6.6520 0.0000 0.0000
0.0000 6.6520 0.0000
0.0000 0.0000 6.6520
P Y
8 4
direct
0.4073 0.4073 0.5927
0.9073 0.0927 0.4073
0.9073 0.4073 0.9073
0.5927 0.9073 0.9073
0.4073 0.0927 0.0927
0.0927 0.9073 0.5927
0.5927 0.5927 0.4073
0.0927 0.5927 0.0927
0.5000 0.0000 0.5000
0.0000 0.5000 0.5000
0.5000 0.5000 0.0000
0.0000 0.0000 0.0000
```

# 12
A relaxed Y5P crystal. Source: Alexandria, functional GGA-PBE.

```
Y5P
1.0
-2.8863 -3.5673 4.1239
0.0076 -5.4669 2.8594
4.2763 1.8721 6.9742
Y P
5 1
direct
0.9643 0.9643 0.5956
0.2668 0.2668 0.3950
0.5686 0.5686 0.1903
0.6676 0.6676 0.7449
0.3405 0.3405 0.9705
0.0256 0.0256 0.9370
```

no.,DFT total energy (eV per atom),N(E_F) (states/eV/f.u.)
1,-6.00,1.63
2,-6.99,4.25
3,-6.15,1.65
4,-7.16,2.42
5,-6.13,0.01
6,-6.71,3.32
7,-7.08,3.14
8,-7.48,5.38
9,-7.14,2.65
10,-6.44,8.26
11,-6.40,2.24
12,-6.69,8.24